Entry 1:
A relaxed structure of Co2CuWO6, computed with GGA+U.

Output
- Calculated volume: 10.8 Å³ per atom
- Space-group type: P1, No. 1
- Electronic total energy: -6.332 eV per atom

CIF file:
```
data_Co2CuWO6
_space_group_name_H-M_alt 'P 1'
_space_group_IT_number 1
_cell_length_a 5.063
_cell_length_b 5.075
_cell_length_c 5.682
_cell_angle_alpha 63.10
_cell_angle_beta 63.04
_cell_angle_gamma 60.09
loop_
_space_group_symop_operation_xyz
'x,y,z'
loop_
_atom_site_label
_atom_site_type_symbol
_atom_site_fract_x
_atom_site_fract_y
_atom_site_fract_z
Co1 Co 0.520 0.520 0.435
Co2 Co 0.010 0.008 0.974
Cu1 Cu 0.788 0.790 0.637
W1 W 0.324 0.322 0.031
O1 O 0.604 0.239 0.217
O2 O 0.237 0.939 0.218
O3 O 0.937 0.605 0.215
O4 O 0.380 0.733 0.762
O5 O 0.734 0.126 0.763
O6 O 0.128 0.380 0.762
```

Entry 2:
A relaxed structure of ZnCo2CuO4, computed with GGA+U.

Output
- Calculated volume: 12.1 Å³ per atom
- Space-group type: I-42m, No. 121
- Electronic total energy: -5.365 eV per atom

CIF file:
```
data_ZnCo2CuO4
_space_group_name_H-M_alt 'P 1'
_space_group_IT_number 1
_cell_length_a 4.600
_cell_length_b 4.600
_cell_length_c 5.609
_cell_angle_alpha 114.22
_cell_angle_beta 114.22
_cell_angle_gamma 89.97
loop_
_space_group_symop_operation_xyz
'x,y,z'
loop_
_atom_site_label
_atom_site_type_symbol
_atom_site_fract_x
_atom_site_fract_y
_atom_site_fract_z
Zn1 Zn 0.000 0.000 0.000
Co1 Co 0.750 0.250 0.500
Co2 Co 0.250 0.750 0.500
Cu1 Cu 0.500 0.500 0.000
O1 O 0.624 0.624 0.743
O2 O 0.376 0.881 0.257
O3 O 0.881 0.376 0.257
O4 O 0.119 0.119 0.743
```

Entry 3:
A relaxed structure of ZrCo2CuO, computed with GGA+U.

Output
- Calculated volume: 13.1 Å³ per atom
- Space-group type: P4/mmm, No. 123
- Electronic total energy: -5.416 eV per atom

CIF file:
```
data_ZrCo2CuO
_space_group_name_H-M_alt 'P 1'
_space_group_IT_number 1
_cell_length_a 4.021
_cell_length_b 4.064
_cell_length_c 4.021
_cell_angle_alpha 90.00
_cell_angle_beta 90.00
_cell_angle_gamma 90.00
loop_
_space_group_symop_operation_xyz
'x,y,z'
loop_
_atom_site_label
_atom_site_type_symbol
_atom_site_fract_x
_atom_site_fract_y
_atom_site_fract_z
O1 O 0.000 0.000 0.000
Co1 Co 0.000 0.000 0.500
Co2 Co 0.500 0.000 0.000
Cu1 Cu 0.000 0.500 0.000
Zr1 Zr 0.500 0.500 0.500
```